Computed, not measured: a relaxed structure of MnSb2Ir at the GGA-PBE level of DFT.

Summary:
Its crystal system is tetragonal. The calculation puts the size of the total moment at 0.00 μB per formula unit. As for the total energy: -47.780 eV/cell. As for the density of states at the Fermi level: 9.68 states/eV/cell. As for the volume: 25.03 Å³ per atom. The energy relative to the lowest polymorph listed for this composition is 58.12 kJ/mol of atoms.

Geometry as POSCAR:
```
MnSb2Ir
1.0
-2.922 2.922 5.864
2.922 -2.922 5.864
2.922 2.922 -5.864
Mn Sb Ir
2 4 2
Direct
0.000 0.000 0.000
0.750 0.250 0.500
0.114 0.625 0.989
0.375 0.364 0.489
0.636 0.125 0.011
0.875 0.886 0.511
0.250 0.750 0.500
0.500 0.500 0.000
```